Entry 1:
TbPr6ErTm2 | GGA-PBE | optimized geometry

Output
- energy (eV per cell) = -91.3
- density of states at the Fermi level (states/eV/atom) = 1.481

Lattice parameters (Å, degrees): 9.6495 8.9838 8.9838 117.43 93.79 93.79
Positions (direct):
Pr  0.8114  0.4379  0.9952
Tm  0.5478  0.2015  0.2967
Pr  0.0544  0.1141  0.7648
Pr  0.3830  0.5130  0.2939
Er  0.7500  0.5875  0.4125
Pr  0.6170  0.4870  0.7061
Tb  0.7500  0.0292  0.9708
Tb  0.2500  0.9708  0.0292
Er  0.2500  0.4125  0.5875
Tm  0.4522  0.7985  0.7033
Pr  0.4456  0.2352  0.8859
Pr  0.1170  0.7061  0.4870
Pr  0.6886  0.0048  0.5621
Tm  0.0478  0.2967  0.2015
Pr  0.9456  0.8859  0.2352
Tm  0.9522  0.7033  0.7985
Pr  0.8830  0.2939  0.5130
Pr  0.3114  0.9952  0.4379
Pr  0.1886  0.5621  0.0048
Pr  0.5544  0.7648  0.1141

***

Entry 2:
ErSc8Bi2 | GGA-PBE | optimized geometry

Output
- energy (eV per cell) = -64.1
- density of states at the Fermi level (states/eV/atom) = 1.479

Lattice parameters (Å, degrees): 5.5275 8.1925 8.1925 120.34 103.18 103.18
Positions (direct):
Sc  0.6991  0.4179  0.4179
Sc  0.1293  0.0969  0.3161
Bi  0.0000  0.3049  0.6951
Sc  0.5000  0.7805  0.2195
Sc  0.3009  0.5821  0.5821
Er  0.5000  0.0000  0.0000
Sc  0.1293  0.3161  0.0969
Sc  0.5000  0.2195  0.7805
Sc  0.8707  0.6839  0.9031
Sc  0.8707  0.9031  0.6839
Bi  0.0000  0.6951  0.3049

***

Entry 3:
LuHf2Cd | GGA-PBE | optimized geometry

Output
- energy (eV per cell) = -24.0
- density of states at the Fermi level (states/eV/atom) = 1.536

Lattice parameters (Å, degrees): 3.0944 3.0944 11.7174 82.41 82.41 60.00
Positions (direct):
Hf  0.0911  0.0911  0.7266
Lu  0.0000  0.0000  0.0000
Hf  0.9089  0.9089  0.2734
Cd  0.5000  0.5000  0.5000

***

Please write out number 3 again, unchanged.
LuHf2Cd | GGA-PBE | optimized geometry

Output
- energy (eV per cell) = -24.0
- density of states at the Fermi level (states/eV/atom) = 1.536

Lattice parameters (Å, degrees): 3.0944 3.0944 11.7174 82.41 82.41 60.00
Positions (direct):
Hf  0.0911  0.0911  0.7266
Lu  0.0000  0.0000  0.0000
Hf  0.9089  0.9089  0.2734
Cd  0.5000  0.5000  0.5000

***

Q: Among the records above, which one has the highest density of states at the Fermi level?
A: LuHf2Cd

***

Q: What is the formula in the second record?
A: ErSc8Bi2